[1]
Compound: TaZnNi2
Source: the Alexandria database
Functional: PBE
Structure: relaxed

Uncorrected energy in eV/atom: -6.303
Magnetization in μB per atom: 0.00
V in Å³/cell: 54.1
ΔE_f in eV/f.u.: -0.52

extended XYZ file:
```
4
Lattice="4.4377 0.1064 -0.0035 -0.4630 4.4148 -0.0035 0.0026 0.0029 2.7529" Properties=species:S:1:pos:R:3 pbc="T T T"
Ta 2.2201 0.0546 1.3747
Ni 0.0000 0.0000 0.0000
Ni 1.9874 2.2606 -0.0035
Zn -0.2302 2.2089 1.3747
```

---

[2]
Compound: Ta2ZnNi
Source: the Alexandria database
Functional: PBE
Structure: relaxed

Uncorrected energy in eV/atom: -7.373
Magnetization in μB per atom: 0.12
V in Å³/cell: 63.3
ΔE_f in eV/f.u.: 1.27

extended XYZ file:
```
4
Lattice="-4.4289 -0.6047 0.1734 -1.8505 -3.5601 -1.9778 -1.7109 -3.3021 2.4859" Properties=species:S:1:pos:R:3 pbc="T T T"
Zn -1.9976 -1.8667 0.1704
Ta 0.0000 0.0000 0.0000
Ni -3.9951 -3.7334 0.3407
Ta -5.9927 -5.6002 0.5111
```

---

[3]
Compound: TaZn5Ni4
Source: the Alexandria database
Functional: PBE
Structure: relaxed

Uncorrected energy in eV/atom: -4.311
Magnetization in μB per atom: 0.00
V in Å³/cell: 129.0
ΔE_f in eV/f.u.: -1.76

extended XYZ file:
```
10
Lattice="-2.7826 -0.6619 0.4407 0.7769 -1.9205 2.0207 -0.9033 10.9688 10.7720" Properties=species:S:1:pos:R:3 pbc="T T T"
Zn -1.1162 0.0853 2.5825
Zn -1.7929 8.3011 10.6509
Zn -1.6241 6.2524 8.6390
Ni -0.1982 2.4070 2.3639
Ta 0.0000 0.0000 0.0000
Zn -1.4545 4.1932 6.6167
Ni -0.5365 6.5144 6.3975
Ni -0.7051 8.5617 8.4081
Ni -0.3668 4.4544 4.3745
Zn -1.2850 2.1339 4.5944
```

---

[4]
Compound: TaZn2Ni2
Source: the Alexandria database
Functional: PBE
Structure: relaxed

Uncorrected energy in eV/atom: -5.252
Magnetization in μB per atom: 0.00
Relative energy among the computed polymorphs in meV per atom: 80
V in Å³/cell: 134.9
ΔE_f in eV/f.u.: -0.30

extended XYZ file:
```
10
Lattice="-5.3332 -4.2305 1.6601 3.9264 -3.0007 4.9674 -0.8976 1.8481 1.8259" Properties=species:S:1:pos:R:3 pbc="T T T"
Ta 0.0000 0.0000 0.0000
Ni -2.8510 -3.0632 1.6989
Ni 0.7493 -1.6616 2.0501
Zn 1.2818 -1.7718 4.4923
Zn -1.5846 -0.9879 2.2898
Ni -2.1561 -5.5696 4.5773
Ta -0.7034 -3.6156 3.3137
Zn -3.5862 -3.6113 3.9610
Zn -0.7198 -4.3952 6.1636
Ni 1.4443 -4.1679 4.9285
```

---

[5]
Compound: Ta2ZnNi
Source: the Alexandria database
Functional: PBE
Structure: relaxed

Uncorrected energy in eV/atom: -7.313
Magnetization in μB per atom: 0.00
V in Å³/cell: 132.1
ΔE_f in eV/f.u.: 1.51

extended XYZ file:
```
8
Lattice="7.0561 0.0000 0.0000 0.0000 7.0561 0.0000 3.5280 3.5280 2.6527" Properties=species:S:1:pos:R:3 pbc="T T T"
Ta 5.0839 1.7640 0.6632
Ta 5.2921 5.5002 1.9895
Zn 7.0561 3.5280 1.3264
Zn 0.0000 0.0000 0.0000
Ta 1.9722 5.2921 0.6632
Ta 8.8201 8.6119 1.9895
Ni 3.5280 3.5280 0.0000
Ni 3.5280 7.0561 1.3264
```

---

[6]
Compound: TaZn3Ni12
Source: the Alexandria database
Functional: PBE
Structure: relaxed

Uncorrected energy in eV/atom: -5.509
Magnetization in μB per atom: 0.20
V in Å³/cell: 187.0
ΔE_f in eV/f.u.: -3.09

extended XYZ file:
```
16
Lattice="3.6103 0.0000 0.0000 0.0000 3.6103 0.0000 0.0000 0.0000 14.3471" Properties=species:S:1:pos:R:3 pbc="T T T"
Zn 0.0000 0.0000 7.1735
Ni 1.8052 1.8052 7.1735
Ni 0.0000 1.8052 8.9488
Ni 0.0000 1.8052 12.5107
Ni 1.8052 1.8052 3.6242
Ni 1.8052 0.0000 12.5107
Ta 0.0000 0.0000 0.0000
Zn 0.0000 0.0000 3.6402
Ni 1.8052 0.0000 5.3983
Ni 1.8052 1.8052 10.7229
Ni 0.0000 1.8052 1.8364
Ni 1.8052 0.0000 1.8364
Ni 1.8052 1.8052 0.0000
Ni 0.0000 1.8052 5.3983
Ni 1.8052 0.0000 8.9488
Zn 0.0000 0.0000 10.7069
```

---

[7]
Compound: TaZnNi
Source: the Alexandria database
Functional: PBE
Structure: relaxed

Uncorrected energy in eV/atom: -6.375
Magnetization in μB per atom: 0.00
V in Å³/cell: 174.1
ΔE_f in eV/f.u.: -0.22

extended XYZ file:
```
12
Lattice="-3.7336 1.2143 -4.6542 -2.2920 -1.1440 1.5401 0.0327 8.0282 6.0117" Properties=species:S:1:pos:R:3 pbc="T T T"
Ta -2.1430 7.4353 5.2339
Ta -1.6051 4.8141 4.0874
Ni -3.4793 7.5502 0.4304
Zn -1.9369 7.1482 2.4270
Ni -3.0421 4.8937 -0.8922
Zn -3.0992 2.5621 0.1913
Zn -2.3806 1.7850 -2.2169
Ni -4.6416 2.9642 -1.8054
Zn -3.5103 5.2271 1.5590
Ni -4.1717 8.3358 2.8838
Ta -0.4755 1.3720 0.3115
Ta -1.0134 3.9932 1.4579
```

---

[8]
Compound: Ta2ZnNi
Source: the Alexandria database
Functional: PBE
Structure: relaxed

Uncorrected energy in eV/atom: -7.724
Magnetization in μB per atom: 0.00
V in Å³/cell: 61.1
ΔE_f in eV/f.u.: -0.14

extended XYZ file:
```
4
Lattice="3.9614 0.0000 0.0000 0.0000 3.9635 0.0000 0.0000 0.0000 3.8942" Properties=species:S:1:pos:R:3 pbc="T T T"
Ta 0.0000 0.0000 0.0000
Ni 0.0000 1.9817 1.9471
Ta 1.9807 1.9817 0.0000
Zn 1.9807 0.0000 1.9471
```

---

[9]
Compound: TaZnNi
Source: the Alexandria database
Functional: PBE
Structure: relaxed

Uncorrected energy in eV/atom: -6.416
Magnetization in μB per atom: 0.00
V in Å³/cell: 42.8
ΔE_f in eV/f.u.: -0.34

extended XYZ file:
```
3
Lattice="5.7154 -0.0309 0.0322 5.0301 2.7132 0.0637 0.6854 0.1392 2.7407" Properties=species:S:1:pos:R:3 pbc="T T T"
Zn 4.1873 1.0244 1.8201
Ta 7.3179 1.8158 0.9970
Ni 10.6712 2.6635 0.1154
```

---

[10]
Compound: TaZnNi2
Source: the Alexandria database
Functional: PBE
Structure: relaxed

Uncorrected energy in eV/atom: -6.108
Magnetization in μB per atom: 0.00
V in Å³/cell: 55.3
ΔE_f in eV/f.u.: 0.26

extended XYZ file:
```
4
Lattice="8.6965 0.0285 0.0168 8.2582 2.7261 0.0168 8.2582 1.3417 2.3731" Properties=species:S:1:pos:R:3 pbc="T T T"
Ni 25.1782 4.0907 2.4034
Zn 18.6990 3.0380 1.7849
Ta 12.7241 2.0673 1.2146
Ni 6.4312 1.0449 0.6139
```

---

[11]
Compound: TaZn3Ni6
Source: the Alexandria database
Functional: PBE
Structure: relaxed

Uncorrected energy in eV/atom: -5.278
Magnetization in μB per atom: 0.00
V in Å³/cell: 246.6
ΔE_f in eV/f.u.: -2.42

extended XYZ file:
```
20
Lattice="-3.3961 -1.1014 1.2166 3.1062 -6.7510 2.5590 1.2809 4.0053 7.2016" Properties=species:S:1:pos:R:3 pbc="T T T"
Ni 1.0872 -3.3368 8.7845
Ni -1.0353 -2.0719 4.0047
Zn 2.7473 -1.3826 9.3406
Ni 0.4124 -3.8925 6.3978
Ni 0.6875 -2.9223 2.1969
Zn 1.2603 0.6292 7.0111
Ni 0.4744 3.0310 6.9919
Ni 2.0263 -1.7752 6.9726
Zn -0.3837 -1.4391 6.3965
Ni 0.5166 -6.8782 3.9854
Ta -1.8733 0.2798 3.7945
Ni 2.1720 -4.8419 4.6031
Ta 2.8643 -4.1269 7.1828
Zn 1.3747 -2.4080 4.5808
Zn -1.7563 -2.4645 1.6367
Ni 0.5785 0.0454 4.5795
Ni 0.3035 -0.9248 8.7804
Ni -0.0963 -0.5103 2.1928
Ni -1.1811 0.9948 6.3742
Zn -0.2693 -4.4763 3.9662
```

---

[12]
Compound: TaZn2Ni6
Source: the Alexandria database
Functional: PBE
Structure: relaxed

Uncorrected energy in eV/atom: -5.411
Magnetization in μB per atom: 0.00
V in Å³/cell: 119.9
ΔE_f in eV/f.u.: 0.39

extended XYZ file:
```
9
Lattice="-2.8167 -0.3148 4.9265 -4.0269 1.8365 -2.1849 0.7396 -4.8788 0.1112" Properties=species:S:1:pos:R:3 pbc="T T T"
Ni -2.4855 -2.8849 -0.4978
Ta -1.4083 -0.1574 2.4633
Ni -0.9207 -1.4367 0.4893
Ni -0.5686 -3.7591 0.5422
Ni -5.5353 0.4019 2.3106
Ni -5.1832 -1.9205 2.3635
Ni -3.6184 -0.4723 3.3506
Zn -2.7486 -2.8527 2.6680
Zn -3.3553 -0.5045 0.1848
```

---

[13]
Compound: TaZn2Ni
Source: the Alexandria database
Functional: PBE
Structure: relaxed

Uncorrected energy in eV/atom: -5.040
Magnetization in μB per atom: 0.00
Relative energy among the computed polymorphs in meV per atom: 118
V in Å³/cell: 58.3
ΔE_f in eV/f.u.: 0.02

extended XYZ file:
```
4
Lattice="-3.3991 -2.2462 2.0843 -2.1366 -4.0215 0.4537 2.4980 -1.8095 3.9041" Properties=species:S:1:pos:R:3 pbc="T T T"
Zn -2.2784 -6.1337 4.9140
Ni -1.5237 -3.9590 3.1306
Ta -0.6522 -2.0398 1.7159
Zn 2.3957 -1.7926 3.8065
```

---

[14]
Compound: TaZn2Ni
Source: the Alexandria database
Functional: PBE
Structure: relaxed

Uncorrected energy in eV/atom: -5.046
Magnetization in μB per atom: 0.00
Relative energy among the computed polymorphs in meV per atom: 112
V in Å³/cell: 57.7
ΔE_f in eV/f.u.: 0.00

extended XYZ file:
```
4
Lattice="4.2489 0.0000 0.0000 0.0000 2.7030 -0.0195 0.0000 1.0203 5.0199" Properties=species:S:1:pos:R:3 pbc="T T T"
Ta 2.1244 2.7925 3.7503
Ni 2.1244 0.9308 1.2501
Zn 0.0000 1.5675 2.4133
Zn 0.0000 0.2942 0.0869
```

---

[15]
Compound: TaZnNi2
Source: the Alexandria database
Functional: PBE
Structure: relaxed

Uncorrected energy in eV/atom: -6.220
Magnetization in μB per atom: 0.00
V in Å³/cell: 53.2
ΔE_f in eV/f.u.: -0.19

extended XYZ file:
```
4
Lattice="4.2204 0.0000 0.0000 2.1102 3.6550 0.0000 2.1102 1.2183 3.4459" Properties=species:S:1:pos:R:3 pbc="T T T"
Ni 0.0000 0.0000 0.0000
Zn 2.1102 1.2183 0.8615
Ta 4.2204 2.4366 1.7230
Ni 6.3306 3.6550 2.5845
```

---

[16]
Compound: TaZnNi
Source: the Alexandria database
Functional: PBE
Structure: relaxed

Uncorrected energy in eV/atom: -5.684
Magnetization in μB per atom: 0.00
V in Å³/cell: 52.2
ΔE_f in eV/f.u.: 1.86

extended XYZ file:
```
3
Lattice="-0.4088 4.1204 -0.6757 -3.1547 1.4352 -2.3642 -3.1590 2.1137 1.7760" Properties=species:S:1:pos:R:3 pbc="T T T"
Ni -3.3613 3.8347 -0.6319
Ta -5.0419 5.7520 -0.9479
Zn 0.0000 0.0000 0.0000
```

---

[17]
Compound: TaZn2Ni2
Source: the Alexandria database
Functional: PBE
Structure: relaxed

Uncorrected energy in eV/atom: -5.332
Magnetization in μB per atom: 0.00
Relative energy among the computed polymorphs in meV per atom: 0
V in Å³/cell: 70.8
ΔE_f in eV/f.u.: -0.70

extended XYZ file:
```
5
Lattice="-1.2605 -1.8195 1.6146 2.7875 -0.8018 1.2726 0.4332 5.3424 6.3585" Properties=species:S:1:pos:R:3 pbc="T T T"
Ni 0.5711 -0.1603 2.5897
Zn 2.4293 1.3400 3.4066
Ni 1.3891 2.8814 6.6560
Ta 0.0000 0.0000 0.0000
Zn 0.7914 3.2006 4.2246
```

---

[18]
Compound: TaZn2Ni
Source: the Alexandria database
Functional: PBE
Structure: relaxed

Uncorrected energy in eV/atom: -5.011
Magnetization in μB per atom: 0.00
Relative energy among the computed polymorphs in meV per atom: 147
V in Å³/cell: 59.8
ΔE_f in eV/f.u.: 0.14

extended XYZ file:
```
4
Lattice="9.0754 0.0200 0.0118 8.6436 2.7660 0.0118 8.6436 1.3591 2.4091" Properties=species:S:1:pos:R:3 pbc="T T T"
Zn 6.4174 1.0090 0.5922
Zn 26.3280 4.1397 2.4294
Ni 13.2264 2.0797 1.2205
Ta 19.9349 3.1345 1.8395
```

---

[19]
Compound: Ta2ZnNi
Source: the Alexandria database
Functional: PBE
Structure: relaxed

Uncorrected energy in eV/atom: -7.718
Magnetization in μB per atom: 0.00
V in Å³/cell: 61.2
ΔE_f in eV/f.u.: -0.11

extended XYZ file:
```
4
Lattice="4.8119 -0.0090 -0.0219 -1.5030 4.5712 -0.0219 0.0119 0.0164 2.7820" Properties=species:S:1:pos:R:3 pbc="T T T"
Zn 2.4119 0.0037 1.3801
Ta 0.0000 0.0000 0.0000
Ni -0.7456 2.2938 1.3801
Ta 1.6545 2.2811 -0.0219
```

---

[20]
Compound: TaZnNi4
Source: the Alexandria database
Functional: PBE
Structure: relaxed

Uncorrected energy in eV/atom: -5.802
Magnetization in μB per atom: 0.00
V in Å³/cell: 169.2
ΔE_f in eV/f.u.: 1.44

extended XYZ file:
```
12
Lattice="5.6793 0.0000 -2.6864 -1.2707 5.5353 -2.6864 -0.5896 -0.7403 6.0999" Properties=species:S:1:pos:R:3 pbc="T T T"
Ni 2.3657 3.0838 -0.1734
Ni 4.1329 3.6184 -4.0175
Ni 3.7094 4.5440 -1.6762
Ni 0.3275 1.9821 -1.2456
Ni 1.7183 0.1629 1.6946
Zn 0.0000 0.0000 0.0000
Ta 2.2043 2.7676 -2.6864
Zn 0.1720 3.7813 0.3635
Ta 3.6469 1.0137 0.3635
Ni -0.1556 1.7992 1.6091
Ni 2.8959 -0.0428 3.9504
Ni 0.2815 4.0323 2.7668
```